(1)
CsCdHgBr3 | PBE-GGA | relaxed

a = 7.7109 Å, b = 7.7109 Å, c = 10.5700 Å
α = 69.81°, β = 69.81°, γ = 63.16°
Positions (direct):
1 Cs 0.6896 0.6896 0.7880
2 Cs 0.3104 0.3104 0.2120
3 Cd 0.0339 0.0339 0.7644
4 Cd 0.9661 0.9661 0.2356
5 Hg 0.2200 0.7800 0.5000
6 Hg 0.7800 0.2200 0.5000
7 Br 0.2423 0.2423 0.6144
8 Br 0.1804 0.6573 0.8682
9 Br 0.6573 0.1804 0.8682
10 Br 0.3427 0.8196 0.1318
11 Br 0.8196 0.3427 0.1318
12 Br 0.7577 0.7577 0.3856

DFT total energy ... -2.138 eV per atom

---

(2)
Er2ThO | PBE-GGA | relaxed

a = 3.2238 Å, b = 3.2238 Å, c = 8.4475 Å
α = 90.00°, β = 90.00°, γ = 90.00°
Positions (direct):
1 O 0.5000 0.5000 0.0000
2 Th 0.5000 0.5000 0.5000
3 Er 0.0000 0.0000 0.8191
4 Er 0.0000 0.0000 0.1809

ΔE to the lowest computed polymorph ... 0.572 eV/atom

---

(3)
LaMoRu2 | PBE-GGA | relaxed

a = 2.8362 Å, b = 2.8362 Å, c = 8.9525 Å
α = 90.00°, β = 90.00°, γ = 90.01°
Positions (direct):
1 La 0.0000 0.0000 0.4891
2 Mo 0.5000 0.5000 0.7886
3 Ru 0.0000 0.0000 0.0199
4 Ru 0.5000 0.5000 0.2024

ΔE to the lowest computed polymorph ... 0.362 eV/atom
ΔE_f ... 413.9 meV per atom

---

(4)
Lu3Sn5Te12 | PBE-GGA | relaxed

a = 15.4780 Å, b = 15.4780 Å, c = 15.4780 Å
α = 109.47°, β = 109.47°, γ = 109.47°
Positions (direct):
1 Lu 0.7500 0.3750 0.1250
2 Lu 0.8750 0.7500 0.1250
3 Lu 0.3750 0.7500 0.6250
4 Lu 0.2500 0.1250 0.3750
5 Lu 0.8750 0.1250 0.2500
6 Lu 0.3750 0.6250 0.2500
7 Lu 0.6250 0.3750 0.7500
8 Lu 0.1250 0.8750 0.7500
9 Lu 0.7500 0.8750 0.6250
10 Lu 0.6250 0.2500 0.3750
11 Lu 0.1250 0.2500 0.8750
12 Lu 0.2500 0.6250 0.8750
13 Sn 0.1250 0.3750 0.2500
14 Sn 0.0000 0.5000 0.0000
15 Sn 0.0000 0.0000 0.0000
16 Sn 0.3750 0.2500 0.1250
17 Sn 0.5000 0.0000 0.5000
18 Sn 0.5000 0.5000 0.0000
19 Sn 0.1250 0.7500 0.3750
20 Sn 0.7500 0.1250 0.8750
21 Sn 0.7500 0.6250 0.3750
22 Sn 0.3750 0.1250 0.7500
23 Sn 0.6250 0.8750 0.2500
24 Sn 0.5000 0.5000 0.5000
25 Sn 0.5000 0.0000 0.0000
26 Sn 0.0000 0.0000 0.5000
27 Sn 0.2500 0.3750 0.6250
28 Sn 0.2500 0.8750 0.1250
29 Sn 0.0000 0.5000 0.5000
30 Sn 0.8750 0.2500 0.6250
31 Sn 0.6250 0.7500 0.8750
32 Sn 0.8750 0.6250 0.7500
33 Te 0.7254 0.1403 0.0546
34 Te 0.3292 0.5546 0.4143
35 Te 0.9454 0.3597 0.2746
36 Te 0.5546 0.2254 0.1403
37 Te 0.5851 0.7254 0.6708
38 Te 0.9454 0.5857 0.1708
39 Te 0.3292 0.7746 0.4149
40 Te 0.0857 0.9149 0.1403
41 Te 0.5857 0.9454 0.6708
42 Te 0.7254 0.5851 0.1708
43 Te 0.7746 0.4454 0.3597
44 Te 0.8292 0.9143 0.0546
45 Te 0.1403 0.7254 0.5546
46 Te 0.3597 0.4143 0.0851
47 Te 0.0851 0.9143 0.3597
48 Te 0.4149 0.1403 0.5857
49 Te 0.0851 0.1708 0.2254
50 Te 0.4454 0.6708 0.0857
51 Te 0.8292 0.9149 0.2746
52 Te 0.1403 0.4149 0.0857
53 Te 0.3597 0.9454 0.7746
54 Te 0.5857 0.6403 0.4149
55 Te 0.9143 0.8292 0.5546
56 Te 0.7746 0.3292 0.9149
57 Te 0.4143 0.3597 0.5851
58 Te 0.0857 0.1708 0.4454
59 Te 0.2254 0.6708 0.0851
60 Te 0.1708 0.0851 0.7254
61 Te 0.6403 0.0546 0.2254
62 Te 0.8597 0.5851 0.9143
63 Te 0.5546 0.3292 0.9143
64 Te 0.5851 0.8597 0.4143
65 Te 0.9149 0.8292 0.7746
66 Te 0.9149 0.0857 0.6403
67 Te 0.8597 0.2746 0.4454
68 Te 0.1708 0.0857 0.9454
69 Te 0.6403 0.5857 0.9149
70 Te 0.4143 0.0546 0.3292
71 Te 0.2746 0.4149 0.8292
72 Te 0.2254 0.5546 0.6403
73 Te 0.9143 0.0851 0.8597
74 Te 0.6708 0.2254 0.5851
75 Te 0.4454 0.7746 0.8597
76 Te 0.0546 0.4143 0.8292
77 Te 0.4149 0.2746 0.3292
78 Te 0.0546 0.6403 0.7254
79 Te 0.6708 0.4454 0.5857
80 Te 0.2746 0.8597 0.9454

DFT total energy ... -4.032 eV per atom

---

no.,V (A^3/atom)
1,42.7
2,21.9
3,18.0
4,35.7